Dy4SnPSe2: optimized geometry, PBE.

uncorrected formation energy: -1473 meV per atom
E_tot: -5.822 eV per atom

a b c (Å): 7.193 4.139 7.218
angles (deg): 90.00 109.36 90.00
Space group P2/m (No. 10)
One atom of each set of equivalent atoms:
Dy: 0.237 0.000 0.235 (multiplicity 2)
Dy: 0.247 0.500 0.761 (multiplicity 2)
Sn: 0.000 0.000 0.500 (multiplicity 1)
P: 0.000 0.500 0.000 (multiplicity 1)
Se: 0.500 0.000 0.000 (multiplicity 1)
Se: 0.500 0.500 0.500 (multiplicity 1)

Dy8TeP3Se4: optimized geometry, PBE.

uncorrected formation energy: -1702 meV per atom
E_tot: -6.085 eV per atom

a b c (Å): 8.1809 8.1809 20.0709
angles (deg): 90.00 90.00 120.00
Space group R-3m (No. 166, hexagonal axes)
One atom of each set of equivalent atoms:
Dy: 0.0000 0.0000 0.2427 (multiplicity 6)
Dy: 0.0219 0.5110 0.7538 (multiplicity 18)
Te: 0.0000 0.0000 0.5000 (multiplicity 3)
P: 0.0000 0.5000 0.5000 (multiplicity 9)
Se: 0.0000 0.0000 0.0000 (multiplicity 3)
Se: 0.0000 0.5000 0.0000 (multiplicity 9)

Dy4TePSe2: optimized geometry, PBE.

uncorrected formation energy: -1639 meV per atom
E_tot: -5.880 eV per atom

a b c (Å): 7.092 4.101 7.302
angles (deg): 90.00 109.09 90.00
Space group P2/m (No. 10)
One atom of each set of equivalent atoms:
Dy: 0.237 0.000 0.221 (multiplicity 2)
Dy: 0.255 0.500 0.782 (multiplicity 2)
Te: 0.000 0.000 0.500 (multiplicity 1)
P: 0.000 0.500 0.000 (multiplicity 1)
Se: 0.500 0.000 0.000 (multiplicity 1)
Se: 0.500 0.500 0.500 (multiplicity 1)

Dy8Te4P3Se: optimized geometry, PBE.

uncorrected formation energy: -1562 meV per atom
E_tot: -5.881 eV per atom

a b c (Å): 8.2520 8.2520 21.1900
angles (deg): 90.00 90.00 120.00
Space group R-3m (No. 166, hexagonal axes)
One atom of each set of equivalent atoms:
Dy: 0.0000 0.0000 0.2362 (multiplicity 6)
Dy: 0.0111 0.5055 0.7630 (multiplicity 18)
Te: 0.0000 0.0000 0.0000 (multiplicity 3)
Te: 0.0000 0.5000 0.0000 (multiplicity 9)
P: 0.0000 0.5000 0.5000 (multiplicity 9)
Se: 0.0000 0.0000 0.5000 (multiplicity 3)

Q: Number 2 is which compound?
A: Dy8TeP3Se4

Q: Look up the E_tot of the fourth one.
A: -5.881 eV per atom

Q: What is the formula in the first record?
A: Dy4SnPSe2

Q: Which value of uncorrected formation energy does entry 3 give?
A: -1639 meV per atom